CoTcHg after structural relaxation, computed with GGA-PBE.

Energy above the most stable polymorph in this dataset (meV per atom): 0
ΔH_f (0 K) (eV/atom): 0.6687
Volume (Å³/cell): 199
Magnetization (μB per cell): 0.003

abc: 5.8425 5.8425 5.8425
angles: 90.00 90.00 90.00
Space group F-43m (No. 216)
Symmetry-distinct sites (fractional):
Co  0.0000  0.0000  0.0000 (multiplicity 4)
Tc  0.2500  0.2500  0.2500 (multiplicity 4)
Hg  0.2500  0.2500  0.7500 (multiplicity 4)